UNbIr2: optimized geometry, PBE.

Output
- ΔE to the lowest computed polymorph: 0.0000 eV/atom
- Energy of formation: -0.459 eV per atom
- Theoretical density: 17025 kg/m3
- Total magnetization: 0.00 μB/f.u.

Cell: 4.1645 4.1645 4.0230 Å, 90.00 90.00 90.00°
Last column: nearest neighbours and their distance in Å.
Fractional coordinates of all 4 atoms:
U  0.0000  0.0000  0.0000  8 Ir 2.90, 4 Nb 2.94
Nb  0.5000  0.5000  0.0000  8 Ir 2.90, 4 U 2.94
Ir  0.0000  0.5000  0.5000  4 Nb 2.90, 4 U 2.90, 4 Ir 2.94
Ir  0.5000  0.0000  0.5000  4 Nb 2.90, 4 U 2.90, 4 Ir 2.94


Si2SbP: optimized geometry, PBE.

Output
- ΔE to the lowest computed polymorph: 0.2872 eV/atom
- Theoretical density: 4662 kg/m3
- Total magnetization: 0.00 μB/f.u.
- Formation energy from raw total energies: 2.1 eV/f.u.

Cell: 5.2981 5.2981 5.2981 Å, 143.46 121.20 71.25°
Last column: nearest neighbours and their distance in Å.
Fractional coordinates of all 4 atoms:
Si  0.2056  0.2056  0.0000  2 P 2.43
Si  0.7944  0.7944  0.0000  2 P 2.43
Sb  0.5000  0.0000  0.5000  8 Si 3.03-3.15, 4 P 3.09, 2 Sb 3.32
P  0.0000  0.5000  0.5000  4 Si 2.43


CsCaCd2: optimized geometry, PBE.

Output
- ΔE to the lowest computed polymorph: 0.2658 eV/atom
- Energy of formation: 0.157 eV per atom
- Theoretical density: 3778 kg/m3
- Total magnetization: 0.00 μB/f.u.

Cell: 7.7340 7.7340 7.7340 Å, 105.25 105.25 118.28°
Last column: nearest neighbours and their distance in Å.
Fractional coordinates of all 8 atoms:
Cs  0.0000  0.0000  0.0000  4 Cd 3.75, 2 Ca 3.97
Cs  0.7500  0.2500  0.5000  4 Cd 3.75, 2 Ca 3.97
Ca  0.2500  0.7500  0.5000  4 Cd 3.20
Ca  0.5000  0.5000  0.0000  4 Cd 3.20
Cd  0.1687  0.6250  0.0437  2 Ca 3.20
Cd  0.3750  0.4187  0.5437  2 Ca 3.20
Cd  0.5813  0.1250  0.9563  2 Ca 3.20
Cd  0.8750  0.8313  0.4563  2 Ca 3.20